(1)
## MgCuB3 (PBE)

Data for an optimized crystal structure of MgCuB3.

a b c (Å): 3.9076 3.9076 3.9076
angles (deg): 90.00 90.00 90.00
Positions (direct):
1 Mg 0.0000 0.0000 0.0000
2 Cu 0.5000 0.5000 0.5000
3 B 0.0000 0.5000 0.5000
4 B 0.5000 0.0000 0.5000
5 B 0.5000 0.5000 0.0000

## Properties
The space group is Pm-3m (221). The polymorph energy (0 for the lowest one) comes out at 0.000 eV/atom. The formation energy comes out at 1.3614 eV/atom.

(2)
## MgCuB (PBE)

Data for an optimized crystal structure of MgCuB.

a b c (Å): 5.8052 5.8052 4.5159
angles (deg): 105.89 105.89 31.16
Positions (direct):
1 Mg 0.1211 0.1211 0.3071
2 Mg 0.8789 0.8789 0.6929
3 Cu 0.4140 0.4140 0.2447
4 Cu 0.5860 0.5860 0.7553
5 B 0.2365 0.2365 0.9280
6 B 0.7635 0.7635 0.0720

## Properties
The space group is C2/m (12). The polymorph energy (0 for the lowest one) comes out at 0.010 eV/atom. The formation energy comes out at 0.0061 eV/atom.

(3)
## MgCuB3 (PBE)

Data for an optimized crystal structure of MgCuB3.

a b c (Å): 4.2521 4.2521 4.2521
angles (deg): 90.00 90.00 90.00
Positions (direct):
1 Mg 0.0000 0.0000 0.0000
2 Cu 0.5000 0.5000 0.5000
3 B 0.0000 0.0000 0.5000
4 B 0.0000 0.5000 0.0000
5 B 0.5000 0.0000 0.0000

## Properties
The space group is Pm-3m (221). The polymorph energy (0 for the lowest one) comes out at 1.065 eV/atom. The formation energy comes out at 2.4265 eV/atom.

(4)
## MgCuB (PBE)

Data for an optimized crystal structure of MgCuB.

a b c (Å): 4.7137 4.7137 5.9601
angles (deg): 124.95 124.95 43.43
Positions (direct):
1 Mg 0.0759 0.0759 0.3165
2 Mg 0.9241 0.9241 0.6835
3 Cu 0.2977 0.2977 0.9001
4 Cu 0.7023 0.7023 0.0999
5 B 0.3883 0.3883 0.3436
6 B 0.6117 0.6117 0.6564

## Properties
The space group is C2/m (12). The polymorph energy (0 for the lowest one) comes out at 0.060 eV/atom. The formation energy comes out at 0.0558 eV/atom.

(5)
## Mg2Cu2B (PBE)

Data for an optimized crystal structure of Mg2Cu2B.

a b c (Å): 5.7064 5.7064 4.2637
angles (deg): 90.00 90.00 90.00
Positions (direct):
1 Mg 0.1705 0.3295 0.0000
2 Mg 0.3295 0.8295 0.0000
3 Mg 0.6705 0.1705 0.0000
4 Mg 0.8295 0.6705 0.0000
5 Cu 0.1619 0.6619 0.5000
6 Cu 0.3381 0.1619 0.5000
7 Cu 0.6619 0.8381 0.5000
8 Cu 0.8381 0.3381 0.5000
9 B 0.0000 0.0000 0.5000
10 B 0.5000 0.5000 0.5000

## Properties
The space group is P4/mbm (127). The polymorph energy (0 for the lowest one) comes out at 0.000 eV/atom. The formation energy comes out at 0.2006 eV/atom.

(6)
## Na2MgCuB (PBE)

Data for an optimized crystal structure of Na2MgCuB.

a b c (Å): 5.6507 5.6507 4.7059
angles (deg): 90.00 90.00 90.00
Positions (direct):
1 Na 0.0000 0.5000 0.0000
2 Na 0.5000 0.0000 0.0000
3 Mg 0.0000 0.0000 0.0000
4 Cu 0.0000 0.0000 0.5000
5 B 0.5000 0.5000 0.5000

## Properties
The space group is P4/mmm (123). The polymorph energy (0 for the lowest one) comes out at 0.833 eV/atom. The formation energy comes out at 1.4163 eV/atom.

(7)
## Na2MgCuB (PBE)

Data for an optimized crystal structure of Na2MgCuB.

a b c (Å): 5.4604 5.4604 3.8576
angles (deg): 90.00 90.00 90.00
Positions (direct):
1 Na 0.0000 0.5000 0.0000
2 Na 0.5000 0.0000 0.0000
3 Mg 0.0000 0.0000 0.5000
4 Cu 0.5000 0.5000 0.0000
5 B 0.5000 0.5000 0.5000

## Properties
The space group is P4/mmm (123). The polymorph energy (0 for the lowest one) comes out at 0.000 eV/atom. The formation energy comes out at 0.5829 eV/atom.

(8)
## MgNbCuB2 (PBE)

Data for an optimized crystal structure of MgNbCuB2.

a b c (Å): 4.1188 4.1188 4.1354
angles (deg): 90.00 90.00 90.00
Positions (direct):
1 Mg 0.0000 0.0000 0.0000
2 Nb 0.5000 0.5000 0.5000
3 Cu 0.0000 0.0000 0.5000
4 B 0.0000 0.5000 0.0000
5 B 0.5000 0.0000 0.0000

## Properties
The space group is P4/mmm (123). The formation energy comes out at 1.6885 eV/atom.

(9)
## MgCu2NiB (PBE)

Data for an optimized crystal structure of MgCu2NiB.

a b c (Å): 3.9836 3.9836 3.8855
angles (deg): 90.00 90.00 90.00
Positions (direct):
1 Mg 0.0000 0.0000 0.0000
2 Cu 0.0000 0.5000 0.5000
3 Cu 0.5000 0.0000 0.5000
4 Ni 0.5000 0.5000 0.0000
5 B 0.5000 0.5000 0.5000

## Properties
The space group is P4/mmm (123). The formation energy comes out at -0.0530 eV/atom.

(10)
## Mg2CuNi5B2 (PBE)

Data for an optimized crystal structure of Mg2CuNi5B2.

a b c (Å): 8.6257 8.6257 2.9499
angles (deg): 90.00 90.00 90.00
Positions (direct):
1 Mg 0.1764 0.3236 0.0000
2 Mg 0.3236 0.8236 0.0000
3 Mg 0.6764 0.1764 0.0000
4 Mg 0.8236 0.6764 0.0000
5 Cu 0.0000 0.0000 0.0000
6 Cu 0.5000 0.5000 0.0000
7 Ni 0.0000 0.5000 0.5000
8 Ni 0.0698 0.7789 0.5000
9 Ni 0.2211 0.0698 0.5000
10 Ni 0.2789 0.5698 0.5000
11 Ni 0.4302 0.2789 0.5000
12 Ni 0.5000 0.0000 0.5000
13 Ni 0.5698 0.7211 0.5000
14 Ni 0.7211 0.4302 0.5000
15 Ni 0.7789 0.9302 0.5000
16 Ni 0.9302 0.2211 0.5000
17 B 0.1227 0.6227 0.0000
18 B 0.3773 0.1227 0.0000
19 B 0.6227 0.8773 0.0000
20 B 0.8773 0.3773 0.0000

## Properties
The space group is P4/mbm (127). The formation energy comes out at -0.2930 eV/atom.

(11)
## Mg2CuNiB (PBE)

Data for an optimized crystal structure of Mg2CuNiB.

a b c (Å): 4.7231 4.7231 3.7354
angles (deg): 90.00 90.00 90.00
Positions (direct):
1 Mg 0.0000 0.5000 0.0000
2 Mg 0.5000 0.0000 0.0000
3 Cu 0.0000 0.0000 0.0000
4 Ni 0.5000 0.5000 0.5000
5 B 0.0000 0.0000 0.5000

## Properties
The space group is P4/mmm (123). The formation energy comes out at 0.6473 eV/atom.

(12)
## MgCuNi2B (PBE)

Data for an optimized crystal structure of MgCuNi2B.

a b c (Å): 3.8710 3.8710 3.9806
angles (deg): 90.00 90.00 90.00
Positions (direct):
1 Mg 0.0000 0.0000 0.0000
2 Cu 0.5000 0.5000 0.0000
3 Ni 0.0000 0.5000 0.5000
4 Ni 0.5000 0.0000 0.5000
5 B 0.5000 0.5000 0.5000

## Properties
The space group is P4/mmm (123). The formation energy comes out at -0.1745 eV/atom.